Record 1
This record from Alexandria via LeMat-Bulk describes Ac5TbIr4 after structural relaxation. The functional is GGA-PBE.

As for the crystal system: monoclinic. The calculation puts the electronic total energy at -6.633 eV per atom. The calculation puts the energy above the most stable polymorph in this dataset at 0.0000 eV/atom. Its energy of formation is -0.57 eV/atom.

The space group is C2/m (No. 12) and the conventional cell measures 18.5602, 4.3414 and 8.3398 Å, with angles of 90.00, 104.99 and 90.00 degrees. Symmetry generates all atoms from Ac at (0.0000, 0.0000, 0.0000), Ac at (0.1600, 0.5000, 0.8279), Ac at (0.1662, 0.5000, 0.3544), Tb at (0.0000, 0.0000, 0.5000), Ir at (0.0018, 0.5000, 0.2559) and Ir at (0.1679, 0.0000, 0.6022).



Record 2
This record from Alexandria via LeMat-Bulk describes AcTb2Ir after structural relaxation. The functional is GGA-PBE.

As for the crystal system: orthorhombic. The calculation puts the electronic total energy at -6.056 eV per atom. The calculation puts the energy above the most stable polymorph in this dataset at 0.0000 eV/atom. Its energy of formation is -0.50 eV/atom.

The space group is Pnma (No. 62) and the conventional cell measures 7.4486, 9.7527 and 6.6032 Å, with angles of 90.00, 90.00 and 90.00 degrees. Symmetry generates all atoms from Ac at (0.0386, 0.2500, 0.1397), Tb at (0.1732, 0.0689, 0.6676) and Ir at (0.1177, 0.7500, 0.4171).



Record 3
This record from Alexandria via LeMat-Bulk describes Ac3TbIr8 after structural relaxation. The functional is GGA-PBE.

As for the crystal system: trigonal. The calculation puts the electronic total energy at -7.921 eV per atom. Its energy of formation is -0.60 eV/atom.

The space group is R3m (No. 160, hexagonal axes) and the conventional cell measures 5.5240, 5.5240 and 27.0417 Å, with angles of 90.00, 90.00 and 120.00 degrees. Symmetry generates all atoms from Ac at (0.0000, 0.0000, 0.0000), Ac at (0.0000, 0.0000, 0.1256), Ac at (0.0000, 0.0000, 0.5020), Tb at (0.0000, 0.0000, 0.6265), Ir at (0.0000, 0.0000, 0.3130), Ir at (0.0000, 0.0000, 0.8132), Ir at (0.0008, 0.5004, 0.5652) and Ir at (0.1677, 0.3354, 0.3948).



Record 4
This record from Alexandria via LeMat-Bulk describes AcTbIr2 after structural relaxation. The functional is GGA-PBE.

As for the crystal system: cubic. The calculation puts the electronic total energy at -7.135 eV per atom. The calculation puts the energy above the most stable polymorph in this dataset at 0.0287 eV/atom. Its energy of formation is -0.52 eV/atom.

The space group is Fm-3m (No. 225) and the conventional cell measures 7.1710, 7.1710 and 7.1710 Å, with angles of 90.00, 90.00 and 90.00 degrees. Symmetry generates all atoms from Ac at (0.0000, 0.0000, 0.0000), Tb at (0.0000, 0.0000, 0.5000) and Ir at (0.2500, 0.2500, 0.2500).



Record 5
This record from Alexandria via LeMat-Bulk describes AcTbIr4 after structural relaxation. The functional is GGA-PBE.

As for the crystal system: cubic. The calculation puts the electronic total energy at -8.005 eV per atom. Its energy of formation is -0.64 eV/atom.

The space group is F-43m (No. 216) and the conventional cell measures 7.7422, 7.7422 and 7.7422 Å, with angles of 90.00, 90.00 and 90.00 degrees. Symmetry generates all atoms from Ac at (0.0000, 0.0000, 0.0000), Tb at (0.2500, 0.2500, 0.7500) and Ir at (0.1245, 0.1245, 0.3755).



Record 6
This record from Alexandria via LeMat-Bulk describes Ac5TbIr4 after structural relaxation. The functional is GGA-PBE.

As for the crystal system: orthorhombic. The calculation puts the electronic total energy at -6.548 eV per atom. The calculation puts the energy above the most stable polymorph in this dataset at 0.0851 eV/atom. Its energy of formation is -0.49 eV/atom.

The space group is Pmmn (No. 59, origin choice 2) and the conventional cell measures 9.0603, 10.0987 and 7.3255 Å, with angles of 90.00, 90.00 and 90.00 degrees. Symmetry generates all atoms from Ac at (0.0055, 0.0547, 0.2442), Ac at (0.2500, 0.2500, 0.7042), Tb at (0.2500, 0.7500, 0.3139), Ir at (0.0134, 0.7500, 0.0704) and Ir at (0.2500, 0.5057, 0.5028).



Record 7
This record from Alexandria via LeMat-Bulk describes Ac2Tb3Ir2 after structural relaxation. The functional is GGA-PBE.

As for the crystal system: monoclinic. The calculation puts the electronic total energy at -6.246 eV per atom. Its energy of formation is -0.56 eV/atom.

The space group is C2/m (No. 12) and the conventional cell measures 12.6894, 3.9806 and 9.3409 Å, with angles of 90.00, 117.78 and 90.00 degrees. Symmetry generates all atoms from Ac at (0.1648, 0.0000, 0.2961), Tb at (0.0000, 0.5000, 0.5000), Tb at (0.1240, 0.5000, 0.9245) and Ir at (0.1702, 0.0000, 0.7461).



Record 8
This record from Alexandria via LeMat-Bulk describes AcTbIr2 after structural relaxation. The functional is GGA-PBE.

As for the crystal system: tetragonal. The calculation puts the electronic total energy at -7.164 eV per atom. The calculation puts the energy above the most stable polymorph in this dataset at 0.0000 eV/atom. Its energy of formation is -0.55 eV/atom.

The space group is P4/mmm (No. 123) and the conventional cell measures 3.5296, 3.5296 and 7.3552 Å, with angles of 90.00, 90.00 and 90.00 degrees. Symmetry generates all atoms from Ac at (0.0000, 0.0000, 0.0000), Tb at (0.0000, 0.0000, 0.5000) and Ir at (0.5000, 0.5000, 0.2770).



Record 9
This record from Alexandria via LeMat-Bulk describes AcTb2Ir after structural relaxation. The functional is GGA-PBE.

As for the crystal system: trigonal. The calculation puts the electronic total energy at -5.963 eV per atom. The calculation puts the energy above the most stable polymorph in this dataset at 0.0928 eV/atom. Its energy of formation is -0.41 eV/atom.

The space group is R3m (No. 160, hexagonal axes) and the conventional cell measures 4.1154, 4.1154 and 27.4171 Å, with angles of 90.00, 90.00 and 120.00 degrees. Symmetry generates all atoms from Ac at (0.0000, 0.0000, 0.0000), Tb at (0.0000, 0.0000, 0.5500), Tb at (0.0000, 0.0000, 0.7793) and Ir at (0.0000, 0.0000, 0.1647).



Record 10
This record from Alexandria via LeMat-Bulk describes AcTbTeIr after structural relaxation. The functional is GGA-PBE.

As for the crystal system: trigonal. The calculation puts the electronic total energy at -6.194 eV per atom. Its uncorrected formation energy is -4.04 eV per formula unit.

The space group is R3m (No. 160, hexagonal axes) and the conventional cell measures 4.2723, 4.2723 and 23.1403 Å, with angles of 90.00, 90.00 and 120.00 degrees. Symmetry generates all atoms from Ac at (0.0000, 0.0000, 0.0000), Tb at (0.0000, 0.0000, 0.1959), Te at (0.0000, 0.0000, 0.7733) and Ir at (0.0000, 0.0000, 0.5929).



Record 11
This record from Alexandria via LeMat-Bulk describes Ac5Te4Ir after structural relaxation. The functional is GGA-PBE.

As for the crystal system: monoclinic. The calculation puts the electronic total energy at -5.504 eV per atom. Its uncorrected formation energy is -13.07 eV per formula unit.

The space group is C2/m (No. 12) and the conventional cell measures 33.4314, 4.6744 and 4.6744 Å, with angles of 90.00, 98.00 and 90.00 degrees. Symmetry generates all atoms from Ac at (0.0000, 0.0000, 0.0000), Ac at (0.0857, 0.5000, 0.5856), Ac at (0.2060, 0.0000, 0.2062), Te at (0.1033, 0.0000, 0.1031), Te at (0.1916, 0.5000, 0.6919) and Ir at (0.0000, 0.5000, 0.5000).



Record 12
This record from Alexandria via LeMat-Bulk describes Ac3TeIr after structural relaxation. The functional is GGA-PBE.

As for the crystal system: cubic. The calculation puts the electronic total energy at -5.507 eV per atom. Its uncorrected formation energy is -3.21 eV per formula unit.

The space group is Pm-3m (No. 221) and the conventional cell measures 5.8393, 5.8393 and 5.8393 Å, with angles of 90.00, 90.00 and 90.00 degrees. Symmetry generates all atoms from Ac at (0.0000, 0.0000, 0.5000), Te at (0.5000, 0.5000, 0.5000) and Ir at (0.0000, 0.0000, 0.0000).